# Sr5Co4O12 | the Alexandria database | GGA+U | optimized geometry
# Magnetic moment   0.2242 μB/atom
# Uncorrected energy   -127.66 eV/f.u.
data_Sr5Co4O12
_space_group_name_H-M_alt 'P -3 c 1'
_space_group_IT_number 165
_space_group_name_Hall '-P 3 2"c'
_cell_length_a 9.6149
_cell_length_b 9.6149
_cell_length_c 20.1269
_cell_angle_alpha 90.00
_cell_angle_beta 90.00
_cell_angle_gamma 120.00
loop_
_atom_site_label
_atom_site_type_symbol
_atom_site_fract_x
_atom_site_fract_y
_atom_site_fract_z
_atom_site_occupancy
Sr1 Sr 0.0000 0.3563 0.2500 1
Sr2 Sr 0.0053 0.3479 0.8534 1
Sr3 Sr 0.0284 0.3281 0.4517 1
Co1 Co 0.0000 0.0000 0.0000 1
Co2 Co 0.0000 0.0000 0.1246 1
Co3 Co 0.0000 0.0000 0.2500 1
Co4 Co 0.3333 0.6667 0.0476 1
Co5 Co 0.3333 0.6667 0.1752 1
Co6 Co 0.3333 0.6667 0.2968 1
Co7 Co 0.3333 0.6667 0.4186 1
O1 O 0.0231 0.1669 0.5612 1
O2 O 0.0490 0.1654 0.3130 1
O3 O 0.1736 0.5145 0.9754 1
O4 O 0.1791 0.5134 0.1178 1
O5 O 0.1805 0.5090 0.7365 1
O6 O 0.1808 0.5120 0.3574 1